[1]
Here is CoPt2Br after structural relaxation from Alexandria. Energies are from PBE.

Cell: 7.2509 7.2509 5.7724 Å, 51.09 51.09 90.00°
Sites, in units of the cell vectors:
1 Co 0.5000 0.5000 0.0000
2 Co 0.2500 0.7500 0.5000
3 Br 0.0000 0.0000 0.0000
4 Br 0.7500 0.2500 0.5000
5 Pt 0.5930 0.1250 0.2500
6 Pt 0.1570 0.6250 0.2500
7 Pt 0.3750 0.4070 0.7500
8 Pt 0.8750 0.8430 0.7500

Output
E_form (uncorrected) (meV/atom): 611
Crystal system: tetragonal

***

[2]
Here is AgHgHAu2 after structural relaxation from Alexandria. Energies are from PBE.

Cell: 3.9635 3.9635 5.4946 Å, 90.00 90.00 90.00°
Sites, in units of the cell vectors:
1 H 0.0000 0.0000 0.0000
2 Au 0.0000 0.5000 0.0000
3 Au 0.5000 0.0000 0.0000
4 Hg 0.0000 0.0000 0.5000
5 Ag 0.5000 0.5000 0.5000

Output
Energy (eV per atom): -2.404
Crystal system: tetragonal

***

Copy entry 1 word for word.
Here is CoPt2Br after structural relaxation from Alexandria. Energies are from PBE.

Cell: 7.2509 7.2509 5.7724 Å, 51.09 51.09 90.00°
Sites, in units of the cell vectors:
1 Co 0.5000 0.5000 0.0000
2 Co 0.2500 0.7500 0.5000
3 Br 0.0000 0.0000 0.0000
4 Br 0.7500 0.2500 0.5000
5 Pt 0.5930 0.1250 0.2500
6 Pt 0.1570 0.6250 0.2500
7 Pt 0.3750 0.4070 0.7500
8 Pt 0.8750 0.8430 0.7500

Output
E_form (uncorrected) (meV/atom): 611
Crystal system: tetragonal

***

Q: What is the formula in the first record?
A: CoPt2Br